# Ca5Pm2

A geometry-optimized Ca5Pm2 structure (GGA-PBE, Alexandria via LeMat-Bulk).

The structure in POSCAR format:
```
Ca5Pm2
1.0
3.768 0.000 -0.524
-0.073 3.767 -0.524
0.760 0.775 19.266
Ca Pm
5 2
direct
0.149 0.149 0.299 Ca
0.000 0.000 0.000 Ca
0.575 0.575 0.149 Ca
0.851 0.851 0.701 Ca
0.425 0.425 0.851 Ca
0.720 0.720 0.439 Pm
0.280 0.280 0.561 Pm
```

Energy of formation = 0.0205 eV per atom
VASP energy = -19.4 eV/cell
M_tot = 0.000 μB/atom